The following is a GGA+U calculation of a geometry-optimized K3Er3VO8 structure, from the Alexandria database.

a b c (Å): 6.667 6.667 7.363
angles (deg): 116.93 90.00 120.00
Last column: magnetic moment on the atom in μB.
Fractional positions:
K 0.500 0.500 0.000  0.00
K 0.000 0.000 0.000  0.00
K 0.000 0.500 0.000  0.00
O 0.728 0.455 0.683  0.00
O 0.755 0.962 0.668  -0.01
O 0.207 0.962 0.668  -0.01
O 0.793 0.038 0.332  -0.01
O 0.272 0.545 0.317  0.00
O 0.207 0.414 0.668  -0.01
O 0.793 0.586 0.332  -0.01
O 0.245 0.038 0.332  -0.01
Er 0.000 0.500 0.500  0.00
Er 0.500 0.000 0.500  0.00
Er 0.500 0.500 0.500  0.00
V 0.000 0.000 0.500  1.02

Output
- DFT total energy: -6.92 eV per atom
- N(E_F): 0.000 states/eV/atom